Material: La4Be2Cu
Method: DFT, PBE
State: relaxed

Cell lengths 5.5523, 5.5523, 13.8909 Å; angles 90.00, 90.00, 90.00 degrees
Last column: nearest neighbours and their distance in Å.
Space group I4/mmm (No. 139)
One atom of each set of equivalent atoms:
La  0.0000  0.0000  0.2100 [4 per cell]  1 Be 2.84, 1 Cu 2.92
La  0.0000  0.5000  0.0000 [4 per cell]  2 Cu 2.78, 4 Be 3.02
Be  0.0000  0.0000  0.4144 [4 per cell]  1 Be 2.38
Cu  0.0000  0.0000  0.0000 [2 per cell]  6 La 2.78-2.92

* formation energy: 0.3702 eV/atom
* raw total energy: -28.67 eV/f.u.
* spin magnetization: 0.6 μB/f.u.
* V: 428.22 Å³ per cell